No. 1
First-principles (SCAN) data for Ca3Mg at its PBEsol-relaxed geometry, as listed in Alexandria.

Values from the calculation:
total moment = 0.0 μB/cell
DOS(E_F) = 4.0 states/eV per cell
formation enthalpy at 0 K = 0.19 eV per formula unit

Cell: 3.7630 3.7630 11.8641 Å, 90.00 90.00 120.00°
Space group P-6m2 (No. 187)
Asymmetric unit:
Ca: 0.0000 0.0000 0.0000 (multiplicity 1)
Ca: 0.3333 0.6667 0.2713 (multiplicity 2)
Mg: 0.0000 0.0000 0.5000 (multiplicity 1)

---

No. 2
First-principles (SCAN) data for NiMoPt at its PBEsol-relaxed geometry, as listed in Alexandria.

Values from the calculation:
total moment = 0.0 μB/cell
DOS(E_F) = 3.8 states/eV per cell
ΔE to the lowest computed polymorph = 0 meV/atom
formation enthalpy at 0 K = -0.85 eV per formula unit

Cell: 2.695 3.753 7.978 Å, 90.00 90.00 90.00°
Space group Imm2 (No. 44)
Asymmetric unit:
Ni: 0.000 0.000 0.000 (multiplicity 2)
Mo: 0.000 0.000 0.342 (multiplicity 2)
Pt: 0.000 0.000 0.669 (multiplicity 2)

---

No. 3
First-principles (SCAN) data for Zr2InSb at its PBEsol-relaxed geometry, as listed in Alexandria.

Values from the calculation:
total moment = 0.0 μB/cell
DOS(E_F) = 6.5 states/eV per cell
ΔE to the lowest computed polymorph = 286 meV/atom
uncorrected formation energy = -0.15 eV/atom

Cell: 4.123 4.801 9.441 Å, 90.00 90.00 90.00°
Space group Cmm2 (No. 35)
Asymmetric unit:
Zr: 0.000 0.000 0.000 (multiplicity 2)
Zr: 0.000 0.500 0.238 (multiplicity 2)
In: 0.000 0.500 0.764 (multiplicity 2)
Sb: 0.000 0.000 0.470 (multiplicity 2)

---

No. 4
First-principles (SCAN) data for Cs3Nb2I9 at its PBEsol-relaxed geometry, as listed in Alexandria.

Values from the calculation:
total moment = 4.1 μB/cell
uncorrected formation energy = -1.07 eV/atom

Cell: 8.1892 8.1892 19.3250 Å, 90.00 90.00 120.00°
Space group P6_3/mmc (No. 194)
Asymmetric unit:
Cs: 0.0000 0.0000 0.2500 (multiplicity 2)
Cs: 0.3333 0.6667 0.0687 (multiplicity 4)
Nb: 0.3333 0.6667 0.6784 (multiplicity 4)
I: 0.0155 0.5078 0.2500 (multiplicity 6)
I: 0.1717 0.3433 0.5927 (multiplicity 12)

---

No. 5
First-principles (SCAN) data for TlZn3Cr at its PBEsol-relaxed geometry, as listed in Alexandria.

Values from the calculation:
total moment = 4.3 μB/cell
DOS(E_F) = 2.8 states/eV per cell
formation enthalpy at 0 K = 2.81 eV per formula unit

Cell: 4.832 4.832 4.832 Å, 90.00 90.00 90.00°
Space group Pm-3m (No. 221)
Asymmetric unit:
Tl: 0.000 0.000 0.000 (multiplicity 1)
Zn: 0.000 0.500 0.500 (multiplicity 3)
Cr: 0.500 0.500 0.500 (multiplicity 1)

---

No. 6
First-principles (SCAN) data for TiRu2Pt2 at its PBEsol-relaxed geometry, as listed in Alexandria.

Values from the calculation:
total moment = 0.0 μB/cell
DOS(E_F) = 9.0 states/eV per cell
formation enthalpy at 0 K = -0.78 eV per formula unit

Cell: 3.490 3.490 12.944 Å, 90.00 90.00 90.00°
Space group I4/mmm (No. 139)
Asymmetric unit:
Ti: 0.000 0.000 0.000 (multiplicity 2)
Ru: 0.000 0.500 0.250 (multiplicity 4)
Pt: 0.000 0.000 0.403 (multiplicity 4)

---

No. 7
First-principles (SCAN) data for HfTiPO2 at its PBEsol-relaxed geometry, as listed in Alexandria.

Values from the calculation:
total moment = 0.0 μB/cell
DOS(E_F) = 1.7 states/eV per cell
uncorrected formation energy = -1.82 eV/atom

Cell: 3.746 3.746 4.953 Å, 90.00 90.00 90.00°
Space group P4/mmm (No. 123)
Asymmetric unit:
Hf: 0.000 0.000 0.000 (multiplicity 1)
Ti: 0.500 0.500 0.500 (multiplicity 1)
P: 0.500 0.500 0.000 (multiplicity 1)
O: 0.000 0.500 0.500 (multiplicity 2)

---

No. 8
First-principles (SCAN) data for MgTl2In at its PBEsol-relaxed geometry, as listed in Alexandria.

Values from the calculation:
total moment = 0.0 μB/cell
DOS(E_F) = 3.3 states/eV per cell
formation enthalpy at 0 K = -0.04 eV per formula unit

Cell: 11.443 3.425 5.404 Å, 90.00 104.93 90.00°
Space group Cm (No. 8)
Asymmetric unit:
Mg: 0.000 0.000 0.000 (multiplicity 2)
Tl: 0.008 0.500 0.504 (multiplicity 2)
Tl: 0.244 0.500 0.221 (multiplicity 2)
In: 0.266 0.000 0.736 (multiplicity 2)

---

No. 9
First-principles (SCAN) data for LiEuBi at its PBEsol-relaxed geometry, as listed in Alexandria.

Values from the calculation:
total moment = 28.0 μB/cell
DOS(E_F) = 43.4 states/eV per cell
formation enthalpy at 0 K = -2.68 eV per formula unit

Cell: 7.787 4.813 8.415 Å, 90.00 90.00 90.00°
Space group Pnma (No. 62)
Asymmetric unit:
Li: 0.167 0.250 0.077 (multiplicity 4)
Eu: 0.004 0.250 0.713 (multiplicity 4)
Bi: 0.227 0.750 0.907 (multiplicity 4)

---

No. 10
First-principles (SCAN) data for TmFe2SiC at its PBEsol-relaxed geometry, as listed in Alexandria.

Values from the calculation:
total moment = 6.0 μB/cell
DOS(E_F) = 12.3 states/eV per cell
uncorrected formation energy = -0.49 eV/atom

Cell: 3.663 10.271 6.607 Å, 90.00 90.00 90.00°
Space group Cmcm (No. 63)
Asymmetric unit:
Tm: 0.000 0.050 0.250 (multiplicity 4)
Fe: 0.000 0.335 0.063 (multiplicity 8)
Si: 0.000 0.231 0.750 (multiplicity 4)
C: 0.000 0.500 0.000 (multiplicity 4)